VASP calculation (PBE) on a relaxed Ac6Tb3Sm crystal.

a = 13.627 Å, b = 3.801 Å, c = 16.822 Å
α = 90.00°, β = 113.26°, γ = 90.00°
Fractional positions:
Ac 0.049 0.250 0.206
Ac 0.241 0.250 0.587
Ac 0.265 0.750 0.399
Ac 0.310 0.750 0.200
Ac 0.366 0.750 0.996
Ac 0.433 0.750 0.794
Ac 0.567 0.250 0.206
Ac 0.634 0.250 0.004
Ac 0.690 0.250 0.800
Ac 0.735 0.250 0.601
Ac 0.759 0.750 0.413
Ac 0.951 0.750 0.794
Tb 0.018 0.750 0.411
Tb 0.194 0.250 0.802
Tb 0.500 0.250 0.405
Tb 0.500 0.750 0.595
Tb 0.806 0.750 0.198
Tb 0.982 0.250 0.589
Sm 0.120 0.250 0.998
Sm 0.880 0.750 0.002

DOS(E_F) ... 32.390 states/eV/cell
Calculated density ... 8.3 Mg/m³

---

VASP calculation (PBE) on a relaxed AcTb8Sm2 crystal.

a = 10.336 Å, b = 10.336 Å, c = 5.554 Å
α = 93.00°, β = 93.00°, γ = 40.31°
Fractional positions:
Ac 0.000 0.000 0.000
Tb 0.135 0.596 0.270
Tb 0.190 0.190 0.235
Tb 0.404 0.865 0.730
Tb 0.454 0.454 0.759
Tb 0.546 0.546 0.241
Tb 0.596 0.135 0.270
Tb 0.810 0.810 0.765
Tb 0.865 0.404 0.730
Sm 0.285 0.285 0.752
Sm 0.715 0.715 0.248

Energy above the most stable polymorph in this dataset ... 3 meV per atom
DOS(E_F) ... 17.592 states/eV/cell
Calculated density ... 7.8 Mg/m³

---

VASP calculation (PBE) on a relaxed Ac6Tb2Sm5 crystal.

a = 11.370 Å, b = 23.937 Å, c = 3.757 Å
α = 90.00°, β = 90.00°, γ = 90.00°
Fractional positions:
Ac 0.019 0.113 0.000
Ac 0.147 0.386 0.000
Ac 0.166 0.634 0.500
Ac 0.334 0.134 0.500
Ac 0.353 0.886 0.000
Ac 0.481 0.613 0.000
Ac 0.519 0.387 0.000
Ac 0.647 0.114 0.000
Ac 0.666 0.866 0.500
Ac 0.834 0.366 0.500
Ac 0.853 0.614 0.000
Ac 0.981 0.887 0.000
Tb 0.164 0.767 0.000
Tb 0.336 0.267 0.000
Tb 0.664 0.733 0.000
Tb 0.836 0.233 0.000
Sm 0.000 0.500 0.500
Sm 0.086 0.250 0.500
Sm 0.165 0.997 0.500
Sm 0.335 0.497 0.500
Sm 0.414 0.750 0.500
Sm 0.500 0.000 0.500
Sm 0.586 0.250 0.500
Sm 0.665 0.503 0.500
Sm 0.835 0.003 0.500
Sm 0.914 0.750 0.500

DOS(E_F) ... 40.940 states/eV/cell
Calculated density ... 7.9 Mg/m³

---

Number 1: E_form 0.10 eV/atom. Number 2: E_form 0.13 eV/atom. Number 3: E_form 0.16 eV/atom.